1.
A geometry-optimized Ce2Er3TmP6 structure, computed with GGA-PBE.

abc: 6.9326 6.9326 6.9254
angles: 99.61 99.61 120.00
Sites, in units of the cell vectors:
1 Ce 0.1664 0.8336 0.0000
2 Ce 0.8336 0.1664 0.0000
3 Er 0.0000 0.0000 0.5000
4 Er 0.3327 0.6673 0.5000
5 Er 0.6673 0.3327 0.5000
6 Tm 0.5000 0.5000 0.0000
7 P 0.0853 0.4160 0.7477
8 P 0.2541 0.2541 0.2539
9 P 0.4160 0.0853 0.7477
10 P 0.5840 0.9147 0.2523
11 P 0.7459 0.7459 0.7461
12 P 0.9147 0.5840 0.2523

Calculated values
Symmetry: C2/m, No. 12
Size of the total moment, μB/atom: 0.07

---

2.
A geometry-optimized CeEr2TmP4 structure, computed with GGA-PBE.

abc: 6.9039 3.9933 6.9069
angles: 90.00 109.41 90.00
Sites, in units of the cell vectors:
1 Ce 0.0000 0.0000 0.0000
2 Er 0.0000 0.5000 0.5000
3 Er 0.5000 0.0000 0.5000
4 Tm 0.5000 0.5000 0.0000
5 P 0.2519 0.0000 0.7499
6 P 0.2539 0.5000 0.2530
7 P 0.7461 0.5000 0.7470
8 P 0.7481 0.0000 0.2501

Calculated values
Symmetry: P2/m, No. 10
Size of the total moment, μB/atom: 0.05

---

3.
A geometry-optimized CeEr2UP4 structure, computed with GGA-PBE.

abc: 6.9108 3.9803 6.9165
angles: 90.00 109.36 90.00
Sites, in units of the cell vectors:
1 Ce 0.0000 0.0000 0.0000
2 Er 0.0000 0.5000 0.5000
3 Er 0.5000 0.0000 0.5000
4 U 0.5000 0.5000 0.0000
5 P 0.2554 0.0000 0.7500
6 P 0.2569 0.5000 0.2525
7 P 0.7431 0.5000 0.7475
8 P 0.7446 0.0000 0.2500

Calculated values
Symmetry: P2/m, No. 10
Size of the total moment, μB/atom: 0.35

---

Raw total energy (eV/cell)
-81.365, -53.824, -59.293